Pr2MnAs4Ir3 PBE relaxed; calculated formation energy = -7.207 eV/f.u.
1.0
4.334 0.000 0.000
0.000 4.334 0.000
0.000 0.000 10.096
Pr Mn As Ir
2 1 4 3
direct
0.000 0.500 0.244 Pr
0.500 0.000 0.756 Pr
0.000 0.000 0.500 Mn
0.000 0.000 0.000 As
0.000 0.500 0.635 As
0.500 0.000 0.365 As
0.500 0.500 0.000 As
0.000 0.500 0.881 Ir
0.500 0.000 0.119 Ir
0.500 0.500 0.500 Ir